Record 1
Computed, not measured: crystalline Rb2AgBrF6 at its relaxed geometry at the PBE-GGA level of DFT. Values from VASP.

Values from the calculation:
- Raw total energy: -3.471 eV/atom
- Symmetry: I4/mmm, No. 139

The structure in Quantum ESPRESSO input format:
```
&SYSTEM
  ibrav = 0, nat = 10, ntyp = 4
/
ATOMIC_SPECIES
Rb 85.47 Rb.upf
Ag 107.87 Ag.upf
Br 79.90 Br.upf
F 19.00 F.upf
ATOMIC_POSITIONS crystal
Rb 0.250 0.750 0.500
Rb 0.750 0.250 0.500
Ag 0.000 0.000 0.000
Br 0.500 0.500 0.000
F 0.207 0.207 0.000
F 0.275 0.275 0.550
F 0.275 0.725 0.000
F 0.725 0.275 0.000
F 0.725 0.725 0.450
F 0.793 0.793 0.000
CELL_PARAMETERS angstrom
-3.127 3.127 5.177
3.127 -3.127 5.177
3.127 3.127 -5.177
```

=====

Record 2
Computed, not measured: crystalline Tb5Sm3Th at its relaxed geometry at the PBE-GGA level of DFT. Values from VASP.

Values from the calculation:
- Energy of formation: 0.5330 eV per atom
- Raw total energy: -4.437 eV/atom
- Symmetry: C2/m, No. 12

The structure in Quantum ESPRESSO input format:
```
&SYSTEM
  ibrav = 0, nat = 18, ntyp = 3
/
ATOMIC_SPECIES
Tb 158.93 Tb.upf
Sm 150.36 Sm.upf
Th 232.04 Th.upf
ATOMIC_POSITIONS crystal
Tb 0.100 0.601 0.445
Tb 0.220 0.220 0.213
Tb 0.244 0.756 0.000
Tb 0.274 0.274 0.594
Tb 0.399 0.900 0.555
Tb 0.601 0.100 0.445
Tb 0.726 0.726 0.406
Tb 0.756 0.244 0.000
Tb 0.780 0.780 0.787
Tb 0.900 0.399 0.555
Sm 0.000 0.000 0.500
Sm 0.005 0.005 0.199
Sm 0.478 0.478 0.315
Sm 0.500 0.500 0.000
Sm 0.522 0.522 0.685
Sm 0.995 0.995 0.801
Th 0.254 0.254 0.916
Th 0.746 0.746 0.084
CELL_PARAMETERS angstrom
7.646 -5.737 0.000
7.646 5.737 0.000
-6.286 0.000 7.557
```

=====

Record 3
Computed, not measured: crystalline Na2PuTcN4 at its relaxed geometry at the PBE-GGA level of DFT. Values from VASP.

Values from the calculation:
- Raw total energy: -7.974 eV/atom
- Symmetry: Pmn2_1, No. 31

The structure in Quantum ESPRESSO input format:
```
&SYSTEM
  ibrav = 0, nat = 16, ntyp = 4
/
ATOMIC_SPECIES
Na 22.99 Na.upf
Pu 244.00 Pu.upf
Tc 98.00 Tc.upf
N 14.01 N.upf
ATOMIC_POSITIONS crystal
Na 0.242 0.140 0.000
Na 0.258 0.860 0.500
Na 0.742 0.860 0.500
Na 0.758 0.140 0.000
Pu 0.000 0.367 0.500
Pu 0.500 0.633 0.000
Tc 0.000 0.676 0.057
Tc 0.500 0.324 0.557
N 0.000 0.416 0.990
N 0.000 0.665 0.425
N 0.227 0.797 0.980
N 0.273 0.203 0.480
N 0.500 0.335 0.925
N 0.500 0.584 0.490
N 0.727 0.203 0.480
N 0.773 0.797 0.980
CELL_PARAMETERS angstrom
7.083 0.000 0.000
0.000 7.146 0.000
0.000 0.000 4.938
```

=====

Record 4
Computed, not measured: crystalline K12Bi3H5 at its relaxed geometry at the PBE-GGA level of DFT. Values from VASP.

Values from the calculation:
- Raw total energy: -2.274 eV/atom
- Symmetry: Ia-3d, No. 230

The structure in Quantum ESPRESSO input format:
```
&SYSTEM
  ibrav = 0, nat = 80, ntyp = 3
/
ATOMIC_SPECIES
K 39.10 K.upf
Bi 208.98 Bi.upf
H 1.01 H.upf
ATOMIC_POSITIONS crystal
K 0.021 0.204 0.119
K 0.021 0.317 0.902
K 0.085 0.704 0.683
K 0.085 0.881 0.402
K 0.098 0.619 0.415
K 0.098 0.979 0.683
K 0.119 0.021 0.204
K 0.119 0.598 0.915
K 0.183 0.204 0.585
K 0.183 0.479 0.598
K 0.204 0.119 0.021
K 0.204 0.585 0.183
K 0.296 0.317 0.915
K 0.296 0.479 0.381
K 0.317 0.902 0.021
K 0.317 0.915 0.296
K 0.381 0.296 0.479
K 0.381 0.585 0.902
K 0.402 0.085 0.881
K 0.402 0.817 0.521
K 0.415 0.098 0.619
K 0.415 0.817 0.796
K 0.479 0.381 0.296
K 0.479 0.598 0.183
K 0.521 0.402 0.817
K 0.521 0.619 0.704
K 0.585 0.183 0.204
K 0.585 0.902 0.381
K 0.598 0.183 0.479
K 0.598 0.915 0.119
K 0.619 0.415 0.098
K 0.619 0.704 0.521
K 0.683 0.085 0.704
K 0.683 0.098 0.979
K 0.704 0.521 0.619
K 0.704 0.683 0.085
K 0.796 0.415 0.817
K 0.796 0.881 0.979
K 0.817 0.521 0.402
K 0.817 0.796 0.415
K 0.881 0.402 0.085
K 0.881 0.979 0.796
K 0.902 0.021 0.317
K 0.902 0.381 0.585
K 0.915 0.119 0.598
K 0.915 0.296 0.317
K 0.979 0.683 0.098
K 0.979 0.796 0.881
Bi 0.125 0.250 0.375
Bi 0.125 0.375 0.750
Bi 0.250 0.375 0.125
Bi 0.250 0.875 0.625
Bi 0.375 0.125 0.250
Bi 0.375 0.750 0.125
Bi 0.625 0.250 0.875
Bi 0.625 0.875 0.750
Bi 0.750 0.125 0.375
Bi 0.750 0.625 0.875
Bi 0.875 0.625 0.250
Bi 0.875 0.750 0.625
H 0.000 0.000 0.000
H 0.000 0.000 0.500
H 0.000 0.500 0.000
H 0.000 0.500 0.500
H 0.125 0.750 0.875
H 0.125 0.875 0.250
H 0.250 0.125 0.875
H 0.250 0.625 0.375
H 0.375 0.250 0.625
H 0.375 0.625 0.750
H 0.500 0.000 0.000
H 0.500 0.000 0.500
H 0.500 0.500 0.000
H 0.500 0.500 0.500
H 0.625 0.375 0.250
H 0.625 0.750 0.375
H 0.750 0.375 0.625
H 0.750 0.875 0.125
H 0.875 0.125 0.750
H 0.875 0.250 0.125
CELL_PARAMETERS angstrom
-9.166 9.166 9.166
9.166 -9.166 9.166
9.166 9.166 -9.166
```

=====

Record 5
Computed, not measured: crystalline Ti4Pd5Rh4 at its relaxed geometry at the PBE-GGA level of DFT. Values from VASP.

Values from the calculation:
- Energy of formation: -0.6080 eV per atom
- Raw total energy: -7.296 eV/atom
- Symmetry: I4/m, No. 87

The structure in Quantum ESPRESSO input format:
```
&SYSTEM
  ibrav = 0, nat = 13, ntyp = 3
/
ATOMIC_SPECIES
Ti 47.87 Ti.upf
Pd 106.42 Pd.upf
Rh 102.91 Rh.upf
ATOMIC_POSITIONS crystal
Ti 0.127 0.757 0.884
Ti 0.243 0.127 0.370
Ti 0.757 0.873 0.630
Ti 0.873 0.243 0.116
Pd 0.000 0.000 0.000
Pd 0.312 0.564 0.876
Pd 0.436 0.312 0.749
Pd 0.564 0.688 0.251
Pd 0.688 0.436 0.124
Rh 0.100 0.382 0.482
Rh 0.382 0.900 0.282
Rh 0.618 0.100 0.718
Rh 0.900 0.618 0.518
CELL_PARAMETERS angstrom
-4.954 4.954 1.999
4.954 -4.954 1.999
4.954 4.954 -1.999
```

=====

Record 6
Computed, not measured: crystalline ZnCoW2 at its relaxed geometry at the PBE-GGA level of DFT. Values from VASP.

Values from the calculation:
- Energy of formation: 0.2849 eV per atom
- Raw total energy: -8.287 eV/atom
- Symmetry: Imm2, No. 44

The structure in Quantum ESPRESSO input format:
```
&SYSTEM
  ibrav = 0, nat = 4, ntyp = 3
/
ATOMIC_SPECIES
Zn 65.41 Zn.upf
Co 58.93 Co.upf
W 183.84 W.upf
ATOMIC_POSITIONS crystal
Zn 0.000 0.000 0.000
Co 0.235 0.735 0.500
W 0.475 0.475 0.000
W 0.729 0.229 0.500
CELL_PARAMETERS angstrom
-1.600 2.165 4.136
1.600 -2.165 4.136
1.600 2.165 -4.136
```

=====

Record 7
Computed, not measured: crystalline TlTe2PbN at its relaxed geometry at the PBE-GGA level of DFT. Values from VASP.

Values from the calculation:
- Raw total energy: -3.354 eV/atom
- Symmetry: P4/mmm, No. 123
- ΔE to the lowest computed polymorph: 0.0000 eV per atom

The structure in Quantum ESPRESSO input format:
```
&SYSTEM
  ibrav = 0, nat = 5, ntyp = 4
/
ATOMIC_SPECIES
Tl 204.38 Tl.upf
Te 127.60 Te.upf
Pb 207.20 Pb.upf
N 14.01 N.upf
ATOMIC_POSITIONS crystal
Tl 0.000 0.000 0.000
Te 0.000 0.500 0.500
Te 0.500 0.000 0.500
Pb 0.500 0.500 0.500
N 0.500 0.500 0.000
CELL_PARAMETERS angstrom
6.036 0.000 0.000
0.000 6.036 0.000
0.000 0.000 4.531
```

=====

Record 8
Computed, not measured: crystalline ReC2 at its relaxed geometry at the PBE-GGA level of DFT. Values from VASP.

Values from the calculation:
- Energy of formation: 1.3666 eV per atom
- Raw total energy: -8.932 eV/atom
- Symmetry: P-62m, No. 189
- ΔE to the lowest computed polymorph: 0.9267 eV per atom

The structure in Quantum ESPRESSO input format:
```
&SYSTEM
  ibrav = 0, nat = 9, ntyp = 2
/
ATOMIC_SPECIES
Re 186.21 Re.upf
C 12.01 C.upf
ATOMIC_POSITIONS crystal
Re 0.000 0.000 0.000
Re 0.333 0.667 0.500
Re 0.667 0.333 0.500
C 0.000 0.271 0.500
C 0.000 0.615 0.000
C 0.271 0.000 0.500
C 0.385 0.385 0.000
C 0.615 0.000 0.000
C 0.729 0.729 0.500
CELL_PARAMETERS angstrom
5.693 0.000 0.000
-2.846 4.930 0.000
0.000 0.000 2.924
```

=====

Record 9
Computed, not measured: crystalline ScCdAs at its relaxed geometry at the PBE-GGA level of DFT. Values from VASP.

Values from the calculation:
- Energy of formation: -0.4987 eV per atom
- Raw total energy: -4.464 eV/atom
- Symmetry: P3m1, No. 156
- ΔE to the lowest computed polymorph: 0.0000 eV per atom

The structure in Quantum ESPRESSO input format:
```
&SYSTEM
  ibrav = 0, nat = 3, ntyp = 3
/
ATOMIC_SPECIES
Sc 44.96 Sc.upf
Cd 112.41 Cd.upf
As 74.92 As.upf
ATOMIC_POSITIONS crystal
Sc 0.000 0.000 0.000
Cd 0.667 0.333 0.573
As 0.333 0.667 0.253
CELL_PARAMETERS angstrom
3.981 0.000 0.000
-1.990 3.447 0.000
0.000 0.000 5.216
```

=====

Record 10
Computed, not measured: crystalline Hf3Cu2Ni at its relaxed geometry at the PBE-GGA level of DFT. Values from VASP.

Values from the calculation:
- Energy of formation: -0.2124 eV per atom
- Raw total energy: -7.518 eV/atom
- Symmetry: Cmmm, No. 65

The structure in Quantum ESPRESSO input format:
```
&SYSTEM
  ibrav = 0, nat = 6, ntyp = 3
/
ATOMIC_SPECIES
Hf 178.49 Hf.upf
Cu 63.55 Cu.upf
Ni 58.69 Ni.upf
ATOMIC_POSITIONS crystal
Hf 0.000 0.000 0.000
Hf 0.339 0.661 0.000
Hf 0.661 0.339 0.000
Cu 0.175 0.825 0.500
Cu 0.825 0.175 0.500
Ni 0.500 0.500 0.500
CELL_PARAMETERS angstrom
2.292 -6.869 0.000
2.292 6.869 0.000
0.000 0.000 3.169
```

=====

Record 11
Computed, not measured: crystalline YLu2Ru at its relaxed geometry at the PBE-GGA level of DFT. Values from VASP.

Values from the calculation:
- Energy of formation: -0.0629 eV per atom
- Raw total energy: -6.258 eV/atom
- Symmetry: R-3m, No. 166
- ΔE to the lowest computed polymorph: 0.2326 eV per atom

The structure in Quantum ESPRESSO input format:
```
&SYSTEM
  ibrav = 0, nat = 4, ntyp = 3
/
ATOMIC_SPECIES
Y 88.91 Y.upf
Lu 174.97 Lu.upf
Ru 101.07 Ru.upf
ATOMIC_POSITIONS crystal
Y 0.000 0.000 0.000
Lu 0.230 0.230 0.230
Lu 0.770 0.770 0.770
Ru 0.500 0.500 0.500
CELL_PARAMETERS angstrom
1.738 1.003 9.887
-1.738 1.003 9.887
0.000 -2.007 9.887
```

=====

Record 12
Computed, not measured: crystalline LaRePb at its relaxed geometry at the PBE-GGA level of DFT. Values from VASP.

Values from the calculation:
- Energy of formation: 0.5126 eV per atom
- Raw total energy: -6.515 eV/atom
- Symmetry: F-43m, No. 216
- ΔE to the lowest computed polymorph: 0.1501 eV per atom

The structure in Quantum ESPRESSO input format:
```
&SYSTEM
  ibrav = 0, nat = 3, ntyp = 3
/
ATOMIC_SPECIES
La 138.91 La.upf
Re 186.21 Re.upf
Pb 207.20 Pb.upf
ATOMIC_POSITIONS crystal
La 0.000 0.000 0.000
Re 0.250 0.250 0.250
Pb 0.500 0.500 0.500
CELL_PARAMETERS angstrom
0.000 3.429 3.429
3.429 0.000 3.429
3.429 3.429 0.000
```